Entry 1:
## Tl2PtPbSe (GGA-PBE)

Data for crystalline Tl2PtPbSe at its relaxed geometry.

It has space group P4/mmm (No. 123), with a = 6.002 Å, b = 6.002 Å, c = 4.589 Å, α = 90.00°, β = 90.00° and γ = 90.00°. The distinct sites, in fractional coordinates, are Tl at (0.000, 0.500, 0.000), Pt at (0.000, 0.000, 0.500), Pb at (0.500, 0.500, 0.500) and Se at (0.000, 0.000, 0.000).

Its calculated total energy is -16.5 eV for the cell shown. The relative energy among the computed polymorphs is 422 meV per atom. The calculation puts the formation energy from raw total energies at 0.299 eV per atom. For the total magnetic moment, the calculation gives 0.00 Bohr magnetons per cell.

=====

Entry 2:
## Pu5Tc2 (GGA-PBE)

Data for crystalline Pu5Tc2 at its relaxed geometry.

It has space group C2/c (No. 15), with a = 11.454 Å, b = 8.583 Å, c = 6.009 Å, α = 90.00°, β = 115.20° and γ = 90.00°. The distinct sites, in fractional coordinates, are Pu at (0.000, 0.060, 0.250), Pu at (0.144, 0.395, 0.245), Pu at (0.165, 0.099, 0.092) and Tc at (0.100, 0.266, 0.693).

Its calculated total energy is -364.3 eV for the cell shown. As for the formation enthalpy at 0 K: 0.188 eV/atom. For the total magnetic moment, the calculation gives 26.89 Bohr magnetons per cell.